No. 1
{
  "formula": "Tb12Nd7Tm",
  "functional": "GGA-PBE",
  "state": "optimized geometry",
  "cell": [[6.0205, 3.4760, 5.4269], [-6.0205, 3.4760, 5.4269], [0.0000, -6.9519, 5.4269]],
  "species": ["Tb", "Tb", "Tb", "Tb", "Tb", "Tb", "Tb", "Tb", "Tb", "Tb", "Tb", "Tb", "Nd", "Nd", "Nd", "Nd", "Nd", "Nd", "Nd", "Tm"],
  "fractional_positions": [[0.0033, 0.8840, 0.3651], [0.1160, 0.6349, 0.9967], [0.2282, 0.3541, 0.7499], [0.2501, 0.7718, 0.6459], [0.3541, 0.7499, 0.2282], [0.3651, 0.0033, 0.8840], [0.6349, 0.9967, 0.1160], [0.6459, 0.2501, 0.7718], [0.7499, 0.2282, 0.3541], [0.7718, 0.6459, 0.2501], [0.8840, 0.3651, 0.0033], [0.9967, 0.1160, 0.6349], [0.0000, 0.0000, 0.0000], [0.1012, 0.4193, 0.3458], [0.3458, 0.1012, 0.4193], [0.4193, 0.3458, 0.1012], [0.5807, 0.6542, 0.8988], [0.6542, 0.8988, 0.5807], [0.8988, 0.5807, 0.6542], [0.5000, 0.5000, 0.5000]],
  "formation_energy_ev_per_atom": 0.229,
  "m_tot_mub_per_fu": 0.0,
  "relative_energy_ev_per_fu": 0.00,
  "spacegroup": "No. 148"
}

***

No. 2
{
  "formula": "NdSi4Au12",
  "functional": "GGA-PBE",
  "state": "optimized geometry",
  "cell": [[-4.4238, 4.4238, 4.4238], [4.4238, -4.4238, 4.4238], [4.4238, 4.4238, -4.4238]],
  "species": ["Nd", "Si", "Si", "Si", "Si", "Au", "Au", "Au", "Au", "Au", "Au", "Au", "Au", "Au", "Au", "Au", "Au"],
  "fractional_positions": [[0.0000, 0.0000, 0.0000], [0.0000, 0.0000, 0.5000], [0.0000, 0.5000, 0.0000], [0.5000, 0.0000, 0.0000], [0.5000, 0.5000, 0.5000], [0.1609, 0.5001, 0.3392], [0.1609, 0.8216, 0.6608], [0.1784, 0.3392, 0.8391], [0.3392, 0.1609, 0.5001], [0.3392, 0.8391, 0.1784], [0.5001, 0.3392, 0.1609], [0.4999, 0.6608, 0.8391], [0.6608, 0.1609, 0.8216], [0.6608, 0.8391, 0.4999], [0.8216, 0.6608, 0.1609], [0.8391, 0.1784, 0.3392], [0.8391, 0.4999, 0.6608]],
  "m_tot_mub_per_fu": 0.0,
  "spacegroup": "No. 204",
  "e_form_raw_ev_per_atom": -0.074
}

***

No. 3
{
  "formula": "Mg4Tl3In2",
  "functional": "GGA-PBE",
  "state": "optimized geometry",
  "cell": [[9.1582, 0.0000, 0.0000], [0.0000, 8.3024, 0.0000], [-0.8941, 0.0000, 6.0932]],
  "species": ["Mg", "Mg", "Mg", "Mg", "Mg", "Mg", "Mg", "Mg", "Tl", "Tl", "Tl", "Tl", "Tl", "Tl", "In", "In", "In", "In"],
  "fractional_positions": [[0.1583, 0.0377, 0.4296], [0.1583, 0.4623, 0.9296], [0.3368, 0.7311, 0.2552], [0.3368, 0.7689, 0.7552], [0.6632, 0.2311, 0.2448], [0.6632, 0.2689, 0.7448], [0.8417, 0.5377, 0.0704], [0.8417, 0.9623, 0.5704], [0.3221, 0.1160, 0.9735], [0.3221, 0.3840, 0.4735], [0.5000, 0.0000, 0.5000], [0.5000, 0.5000, 0.0000], [0.6779, 0.6160, 0.5265], [0.6779, 0.8840, 0.0265], [0.0450, 0.6811, 0.4766], [0.0450, 0.8189, 0.9766], [0.9550, 0.1811, 0.0234], [0.9550, 0.3189, 0.5234]],
  "formation_energy_ev_per_atom": -0.021,
  "m_tot_mub_per_fu": 0.0,
  "spacegroup": "No. 14"
}

***

| no. | theoretical density (g/cm³) | E (eV/atom) | D(E_F) (states/eV/cell) |
| --- | --- | --- | --- |
| 1 | 7.5 | -4.441 | 36.8 |
| 2 | 12.6 | -3.943 | 8.4 |
| 3 | 6.7 | -2.127 | 6.1 |